# 1
! GGA-PBE Li2CaNiGe, relaxed; values from VASP
&SYSTEM
  ibrav = 0, nat = 5, ntyp = 4
/
ATOMIC_SPECIES
Li 6.94 Li.upf
Ca 40.08 Ca.upf
Ge 72.64 Ge.upf
Ni 58.69 Ni.upf
ATOMIC_POSITIONS angstrom
Li 2.3263 0.0000 0.0000
Li 0.0000 2.3263 0.0000
Ca 2.3263 2.3263 2.2435
Ge 0.0000 0.0000 2.2435
Ni 0.0000 0.0000 0.0000
CELL_PARAMETERS angstrom
4.6526 0.0000 0.0000
0.0000 4.6526 0.0000
0.0000 0.0000 4.4870
! formation energy from the elements = -0.224 eV per atom
! density of states at the Fermi level = 2.6 states/eV/cell
! total moment = 0.00 μB per formula unit


# 2
! GGA-PBE Ba2SmGe3Pt4, relaxed; values from VASP
&SYSTEM
  ibrav = 0, nat = 10, ntyp = 4
/
ATOMIC_SPECIES
Ge 72.64 Ge.upf
Pt 195.08 Pt.upf
Sm 150.36 Sm.upf
Ba 137.33 Ba.upf
ATOMIC_POSITIONS angstrom
Ge 2.2719 0.0000 9.8753
Ge 0.0000 2.2719 1.2486
Ge 0.0000 0.0000 5.5620
Pt 2.2719 0.0000 7.2930
Pt 0.0000 2.2719 3.8309
Pt 2.2719 2.2719 0.0000
Pt 0.0000 0.0000 0.0000
Sm 2.2719 2.2719 5.5620
Ba 0.0000 2.2719 8.5355
Ba 2.2719 0.0000 2.5884
CELL_PARAMETERS angstrom
4.5439 0.0000 0.0000
0.0000 4.5439 0.0000
0.0000 0.0000 11.1239
! formation energy from the elements = -0.804 eV per atom
! density of states at the Fermi level = 5.7 states/eV/cell
! total moment = 0.00 μB per formula unit


# 3
! GGA-PBE NdB2Ir, relaxed; values from VASP
&SYSTEM
  ibrav = 0, nat = 4, ntyp = 3
/
ATOMIC_SPECIES
Ir 192.22 Ir.upf
Nd 144.24 Nd.upf
B 10.81 B.upf
ATOMIC_POSITIONS angstrom
Ir 0.0000 0.0000 0.0000
Nd 3.7147 2.1447 2.4481
B 5.5721 3.2171 4.4023
B 1.8574 1.0724 0.4939
CELL_PARAMETERS angstrom
3.7147 0.0000 0.0000
1.8574 3.2171 0.0000
1.8574 1.0724 4.8962
! formation energy from the elements = -0.341 eV per atom
! density of states at the Fermi level = 2.5 states/eV/cell
! energy relative to the lowest polymorph listed for this composition = 0.104 eV per atom
! total moment = 0.00 μB per formula unit


# 4
! GGA-PBE TbPuPt10, relaxed; values from VASP
&SYSTEM
  ibrav = 0, nat = 12, ntyp = 3
/
ATOMIC_SPECIES
Pt 195.08 Pt.upf
Pu 244.00 Pu.upf
Tb 158.93 Tb.upf
ATOMIC_POSITIONS angstrom
Pt 2.2241 1.3456 6.9554
Pt 2.2241 4.0312 6.9554
Pt 0.0000 2.6884 1.5547
Pt 2.2241 1.3456 2.3306
Pt 2.2241 2.6884 0.0000
Pt 2.2241 4.0312 2.3306
Pt 0.0000 0.0000 6.1878
Pt 2.2241 0.0000 4.6430
Pt 0.0000 0.0000 3.0982
Pt 0.0000 2.6884 7.7313
Pu 0.0000 0.0000 0.0000
Tb 0.0000 2.6884 4.6430
CELL_PARAMETERS angstrom
4.4482 0.0000 0.0000
0.0000 5.3768 0.0000
0.0000 0.0000 9.2860
! formation energy from the elements = -0.612 eV per atom
! density of states at the Fermi level = 19.8 states/eV/cell
! total moment = 4.86 μB per formula unit


# 5
! GGA-PBE TbPr7Zn4, relaxed; values from VASP
&SYSTEM
  ibrav = 0, nat = 12, ntyp = 3
/
ATOMIC_SPECIES
Pr 140.91 Pr.upf
Zn 65.41 Zn.upf
Tb 158.93 Tb.upf
ATOMIC_POSITIONS angstrom
Pr 2.8515 1.3576 3.3307
Pr 2.8515 0.0000 0.0000
Pr 2.8515 5.5121 2.0584
Pr 5.7029 6.2056 5.6725
Pr 5.7029 3.1955 1.7926
Pr 8.5544 3.8890 5.4067
Pr 8.5544 8.0434 4.1344
Zn 2.8515 2.9532 0.2772
Zn 8.5544 6.4479 7.1880
Zn 5.7029 2.5550 4.7480
Zn 5.7029 6.8460 2.7172
Tb 0.0000 0.0000 0.0000
CELL_PARAMETERS angstrom
5.7029 0.0000 0.0000
2.8515 8.7815 0.4358
2.8515 0.6195 7.0293
! formation energy from the elements = -0.019 eV per atom
! density of states at the Fermi level = 15.5 states/eV/cell
! total moment = 0.00 μB per formula unit


# 6
! GGA-PBE Ba2CaHg, relaxed; values from VASP
&SYSTEM
  ibrav = 0, nat = 4, ntyp = 3
/
ATOMIC_SPECIES
Hg 200.59 Hg.upf
Ba 137.33 Ba.upf
Ca 40.08 Ca.upf
ATOMIC_POSITIONS angstrom
Hg 2.1151 2.7407 1.7792
Ba 5.0287 3.0071 0.0000
Ba 0.5016 0.3000 0.0000
Ca 4.0607 -0.5130 1.7972
CELL_PARAMETERS angstrom
7.4760 0.0534 0.0180
3.5847 6.5607 -0.0180
-4.8848 -4.3865 3.5764
! formation energy from the elements = -0.149 eV per atom
! density of states at the Fermi level = 4.6 states/eV/cell
! energy relative to the lowest polymorph listed for this composition = 0.112 eV per atom
! total moment = 0.00 μB per formula unit


# 7
! GGA-PBE SeIN2Cl, relaxed; values from VASP
&SYSTEM
  ibrav = 0, nat = 5, ntyp = 4
/
ATOMIC_SPECIES
I 126.90 I.upf
N 14.01 N.upf
Cl 35.45 Cl.upf
Se 78.96 Se.upf
ATOMIC_POSITIONS angstrom
I 2.0819 2.0819 4.1658
N 0.0000 2.0819 0.0000
N 2.0819 0.0000 0.0000
Cl 0.0000 0.0000 0.0000
Se 0.0000 0.0000 4.1658
CELL_PARAMETERS angstrom
4.1638 0.0000 0.0000
0.0000 4.1638 0.0000
0.0000 0.0000 8.3316
! formation energy (no corrections) = 2076 meV/atom
! density of states at the Fermi level = 4.0 states/eV/cell
! energy relative to the lowest polymorph listed for this composition = 0.534 eV per atom
! total moment = 3.89 μB per formula unit


Number 1: mass density 3.17 g/cm³. Number 2: mass density 10.29 g/cm³. Number 3: mass density 10.16 g/cm³. Number 4: mass density 17.60 g/cm³. Number 5: mass density 6.67 g/cm³. Number 6: mass density 4.91 g/cm³. Number 7: mass density 3.10 g/cm³.